# 1
# Ru3AuBr | Alexandria | meta-GGA SCAN | PBEsol geometry
# magnetic moment	1.6400	μB/atom
# formation energy (no corrections)	1950	meV/atom
data_Ru3AuBr
_chemical_formula_sum 'Ru3 Au1 Br1'
_space_group_name_H-M_alt 'P m -3 m'
_space_group_IT_number 221
_space_group_name_Hall '-P 4 2 3'
_cell_length_a 4.8738
_cell_length_b 4.8738
_cell_length_c 4.8738
_cell_angle_alpha 90.00
_cell_angle_beta 90.00
_cell_angle_gamma 90.00
loop_
_atom_site_label
_atom_site_fract_x
_atom_site_fract_y
_atom_site_fract_z
Ru1 0.0000 0.0000 0.5000
Au1 0.0000 0.0000 0.0000
Br1 0.5000 0.5000 0.5000

---

# 2
# PPdS2F | Alexandria | meta-GGA SCAN | PBEsol geometry
# magnetic moment	0.0004	μB/atom
# formation energy (no corrections)	880	meV/atom
data_PPdS2F
_chemical_formula_sum 'P1 Pd1 S2 F1'
_space_group_name_H-M_alt 'P 4/m m m'
_space_group_IT_number 123
_space_group_name_Hall '-P 4 2'
_cell_length_a 4.7121
_cell_length_b 4.7121
_cell_length_c 3.6236
_cell_angle_alpha 90.00
_cell_angle_beta 90.00
_cell_angle_gamma 90.00
loop_
_atom_site_label
_atom_site_fract_x
_atom_site_fract_y
_atom_site_fract_z
P1 0.0000 0.0000 0.0000
Pd1 0.5000 0.5000 0.0000
S1 0.0000 0.5000 0.5000
F1 0.0000 0.0000 0.5000

---

# 3
# CdAsIrSe2 | Alexandria | meta-GGA SCAN | PBEsol geometry
# magnetic moment	0.0004	μB/atom
# formation energy (no corrections)	1752	meV/atom
data_CdAsIrSe2
_chemical_formula_sum 'Cd1 As1 Ir1 Se2'
_space_group_name_H-M_alt 'P 4/m m m'
_space_group_IT_number 123
_space_group_name_Hall '-P 4 2'
_cell_length_a 4.9512
_cell_length_b 4.9512
_cell_length_c 4.8902
_cell_angle_alpha 90.00
_cell_angle_beta 90.00
_cell_angle_gamma 90.00
loop_
_atom_site_label
_atom_site_fract_x
_atom_site_fract_y
_atom_site_fract_z
Cd1 0.0000 0.0000 0.0000
As1 0.0000 0.0000 0.5000
Ir1 0.5000 0.5000 0.5000
Se1 0.0000 0.5000 0.0000

---

# 4
# RbAl2Pt | Alexandria | meta-GGA SCAN | PBEsol geometry
# formation energy	-0.39	eV/atom
# magnetic moment	0.0000	μB/atom
data_RbAl2Pt
_chemical_formula_sum 'Rb4 Al8 Pt4'
_space_group_name_H-M_alt 'I 41/a m d'
_space_group_IT_number 141
_cell_length_a 6.1535
_cell_length_b 6.1535
_cell_length_c 14.0385
_cell_angle_alpha 90.00
_cell_angle_beta 90.00
_cell_angle_gamma 90.00
loop_
_space_group_symop_operation_xyz
'x,y,z'
'-x,-y,-z'
'-y+1/4,x+3/4,z+1/4'
'y+1/4,-x+3/4,-z+1/4'
'-x+1/2,-y,z+1/2'
'x+1/2,y,-z+1/2'
'y+1/4,-x+1/4,z+3/4'
'-y+1/4,x+1/4,-z+3/4'
'x,-y,-z'
'-x,y,z'
'-y+1/4,-x+1/4,-z+3/4'
'y+1/4,x+1/4,z+3/4'
'-x+1/2,y,-z+1/2'
'x+1/2,-y,z+1/2'
'y+1/4,x+3/4,-z+1/4'
'-y+1/4,-x+3/4,z+1/4'
'x+1/2,y+1/2,z+1/2'
'-x+1/2,-y+1/2,-z+1/2'
'-y+3/4,x+1/4,z+3/4'
'y+3/4,-x+1/4,-z+3/4'
'-x,-y+1/2,z'
'x,y+1/2,-z'
'y+3/4,-x+3/4,z+1/4'
'-y+3/4,x+3/4,-z+1/4'
'x+1/2,-y+1/2,-z+1/2'
'-x+1/2,y+1/2,z+1/2'
'-y+3/4,-x+3/4,-z+1/4'
'y+3/4,x+3/4,z+1/4'
'-x,y+1/2,-z'
'x,-y+1/2,z'
'y+3/4,x+1/4,-z+3/4'
'-y+3/4,-x+1/4,z+3/4'
loop_
_atom_site_label
_atom_site_fract_x
_atom_site_fract_y
_atom_site_fract_z
Rb1 0.0000 0.2500 0.3750
Al1 0.0000 0.0000 0.0000
Pt1 0.0000 0.2500 0.8750

---

# 5
# Rb | Alexandria | meta-GGA SCAN | PBEsol geometry
# formation energy	0.01	eV/atom
# magnetic moment	0.0000	μB/atom
data_Rb
_chemical_formula_sum 'Rb8'
_space_group_name_H-M_alt 'P m -3 n'
_space_group_IT_number 223
_space_group_name_Hall '-P 4n 2 3'
_cell_length_a 8.8102
_cell_length_b 8.8102
_cell_length_c 8.8102
_cell_angle_alpha 90.00
_cell_angle_beta 90.00
_cell_angle_gamma 90.00
loop_
_atom_site_label
_atom_site_fract_x
_atom_site_fract_y
_atom_site_fract_z
Rb1 0.0000 0.0000 0.0000
Rb2 0.0000 0.2500 0.5000

---

# 6
# ZnCd2Os | Alexandria | meta-GGA SCAN | PBEsol geometry
# formation energy	0.56	eV/atom
# magnetic moment	0.0004	μB/atom
data_ZnCd2Os
_chemical_formula_sum 'Zn1 Cd2 Os1'
_space_group_name_H-M_alt 'P 4/m m m'
_space_group_IT_number 123
_space_group_name_Hall '-P 4 2'
_cell_length_a 3.4228
_cell_length_b 3.4228
_cell_length_c 5.6958
_cell_angle_alpha 90.00
_cell_angle_beta 90.00
_cell_angle_gamma 90.00
loop_
_atom_site_label
_atom_site_fract_x
_atom_site_fract_y
_atom_site_fract_z
Zn1 0.0000 0.0000 0.0000
Cd1 0.5000 0.5000 0.2527
Os1 0.0000 0.0000 0.5000

---

# 7
# LiCu2 | Alexandria | meta-GGA SCAN | PBEsol geometry
# formation energy	0.05	eV/atom
# magnetic moment	0.0000	μB/atom
data_LiCu2
_chemical_formula_sum 'Li2 Cu4'
_space_group_name_H-M_alt 'P 63/m m c'
_space_group_IT_number 194
_space_group_name_Hall '-P 6c 2c'
_cell_length_a 4.0408
_cell_length_b 4.0408
_cell_length_c 4.8785
_cell_angle_alpha 90.00
_cell_angle_beta 90.00
_cell_angle_gamma 120.00
loop_
_atom_site_label
_atom_site_fract_x
_atom_site_fract_y
_atom_site_fract_z
Li1 0.3333 0.6667 0.2500
Cu1 0.0000 0.0000 0.0000
Cu2 0.3333 0.6667 0.7500

---

# 8
# Li2TiCo2O6 | Alexandria | meta-GGA SCAN | PBEsol geometry
# magnetic moment	0.0000	μB/atom
# formation energy (no corrections)	-2191	meV/atom
data_Li2TiCo2O6
_chemical_formula_sum 'Li8 Ti4 Co8 O24'
_space_group_name_H-M_alt 'C m c e'
_space_group_IT_number 64
_space_group_name_Hall '-C 2ac 2'
_cell_length_a 8.4075
_cell_length_b 4.8857
_cell_length_c 9.9179
_cell_angle_alpha 90.00
_cell_angle_beta 90.00
_cell_angle_gamma 90.00
loop_
_atom_site_label
_atom_site_fract_x
_atom_site_fract_y
_atom_site_fract_z
Li1 0.2500 0.0812 0.2500
Ti1 0.0000 0.0000 0.0000
Co1 0.1649 0.0000 0.5000
O1 0.0000 0.1575 0.6028
O2 0.1733 0.1718 0.8939

---

# 9
# TaTeSe2 | Alexandria | meta-GGA SCAN | PBEsol geometry
# magnetic moment	0.1552	μB/atom
# formation energy (no corrections)	-121	meV/atom
data_TaTeSe2
_chemical_formula_sum 'Ta2 Te2 Se4'
_space_group_name_H-M_alt 'C 1 2/m 1'
_space_group_IT_number 12
_space_group_name_Hall '-C 2y'
_cell_length_a 11.4556
_cell_length_b 3.4310
_cell_length_c 5.0087
_cell_angle_alpha 90.00
_cell_angle_beta 104.84
_cell_angle_gamma 90.00
loop_
_atom_site_label
_atom_site_fract_x
_atom_site_fract_y
_atom_site_fract_z
Ta1 0.0000 0.0000 0.0000
Te1 0.0000 0.5000 0.5000
Se1 0.1714 0.5000 0.1948

---

# 10
# TaTlCo2C | Alexandria | meta-GGA SCAN | PBEsol geometry
# formation energy	0.24	eV/atom
# magnetic moment	0.6927	μB/atom
data_TaTlCo2C
_chemical_formula_sum 'Ta1 Tl1 Co2 C1'
_space_group_name_H-M_alt 'P 4/m m m'
_space_group_IT_number 123
_space_group_name_Hall '-P 4 2'
_cell_length_a 3.9508
_cell_length_b 3.9508
_cell_length_c 4.2104
_cell_angle_alpha 90.00
_cell_angle_beta 90.00
_cell_angle_gamma 90.00
loop_
_atom_site_label
_atom_site_fract_x
_atom_site_fract_y
_atom_site_fract_z
Ta1 0.0000 0.0000 0.0000
Tl1 0.5000 0.5000 0.0000
Co1 0.0000 0.5000 0.5000
C1 0.0000 0.0000 0.5000

---

# 11
# Nb2VFeSe10 | Alexandria | meta-GGA SCAN | PBEsol geometry
# magnetic moment	0.0002	μB/atom
# formation energy (no corrections)	-635	meV/atom
data_Nb2VFeSe10
_chemical_formula_sum 'Nb2 V1 Fe1 Se10'
_space_group_name_H-M_alt 'P 1 m 1'
_space_group_IT_number 6
_space_group_name_Hall 'P -2y'
_cell_length_a 9.2421
_cell_length_b 3.4260
_cell_length_c 9.8282
_cell_angle_alpha 90.00
_cell_angle_beta 112.95
_cell_angle_gamma 90.00
loop_
_atom_site_label
_atom_site_fract_x
_atom_site_fract_y
_atom_site_fract_z
Nb1 0.0000 0.0000 0.0000
Nb2 0.4487 0.5000 0.2684
V1 0.2697 0.0000 0.5519
Fe1 0.1782 0.5000 0.7348
Se1 0.0658 0.5000 0.4779
Se2 0.2110 0.5000 0.9914
Se3 0.2353 0.0000 0.2754
Se4 0.3709 0.0000 0.8064
Se5 0.4744 0.5000 0.5519
Se6 0.5635 0.0000 0.1323
Se7 0.6814 0.0000 0.3961
Se8 0.7661 0.5000 0.8723
Se9 0.8862 0.5000 0.1358
Se10 0.9894 0.0000 0.7218

---

# 12
# K2Li2Fe | Alexandria | meta-GGA SCAN | PBEsol geometry
# formation energy	0.61	eV/atom
# magnetic moment	0.6577	μB/atom
data_K2Li2Fe
_chemical_formula_sum 'K4 Li4 Fe2'
_space_group_name_H-M_alt 'I 4/m m m'
_space_group_IT_number 139
_space_group_name_Hall '-I 4 2'
_cell_length_a 3.8799
_cell_length_b 3.8799
_cell_length_c 21.9288
_cell_angle_alpha 90.00
_cell_angle_beta 90.00
_cell_angle_gamma 90.00
loop_
_atom_site_label
_atom_site_fract_x
_atom_site_fract_y
_atom_site_fract_z
K1 0.0000 0.0000 0.0992
Li1 0.0000 0.5000 0.2500
Fe1 0.0000 0.0000 0.5000